The following is a DFT calculation (PBE) of a relaxed SrAgHgGe crystal.

Geometry as extended XYZ:
```
4
Lattice="0.000 3.636 3.636 3.636 0.000 3.636 3.636 3.636 0.000" Properties=species:S:1:pos:R:3 pbc="T T T"
Sr 0.000 0.000 0.000
Ag 3.636 3.636 3.636
Hg 5.454 5.454 5.454
Ge 1.818 1.818 1.818
```

DOS(E_F): 0.7683 states/eV/atom
Total magnetization: 0.00 μB/f.u.
DFT total energy: -2.545 eV per atom